No. 1
CsZnIO2 | PBE | optimized geometry

Cell: 4.3427 4.3427 7.8303 Å, 90.00 90.00 90.00°
With the nearest neighbours (Å) after each atom.
Fractional positions:
O  0.5000  0.0000  0.0000  2 Cs 2.17
O  0.0000  0.5000  0.0000  2 Cs 2.17
I  0.0000  0.0000  0.5000  4 Zn 3.07
Cs  0.0000  0.0000  0.0000  4 O 2.17
Zn  0.5000  0.5000  0.5000  4 I 3.07

Results
* space-group type: P4/mmm
* raw formation energy: 0.3752 eV/atom
* total DFT energy (no corrections): -2.34 eV/atom

=====

No. 2
CsZrIO2 | PBE | optimized geometry

Cell: 4.4810 4.4810 5.9190 Å, 90.00 90.00 90.00°
With the nearest neighbours (Å) after each atom.
Fractional positions:
Zr  0.0000  0.0000  0.0000  4 O 2.24
O  0.5000  0.0000  0.0000  2 Zr 2.24
O  0.0000  0.5000  0.0000  2 Zr 2.24
I  0.0000  0.0000  0.5000  2 Zr 2.96, 4 Cs 3.17
Cs  0.5000  0.5000  0.5000  4 I 3.17

Results
* space-group type: P4/mmm
* raw formation energy: -1.6464 eV/atom
* excess energy over the best structure of this formula in the dataset: 0.0 meV/atom
* total DFT energy (no corrections): -5.82 eV/atom

=====

No. 3
CsZrI2O | PBE | optimized geometry

Cell: 6.7079 6.7079 4.3114 Å, 90.00 90.00 90.00°
With the nearest neighbours (Å) after each atom.
Fractional positions:
I  0.0000  0.5000  0.0000  2 Cs 3.35
I  0.5000  0.0000  0.0000  2 Cs 3.35
O  0.0000  0.0000  0.5000  2 Cs 2.16
Zr  0.5000  0.5000  0.5000  8 I 3.99, 2 Zr 4.31
Cs  0.0000  0.0000  0.0000  2 O 2.16

Results
* space-group type: P4/mmm
* raw formation energy: 0.4820 eV/atom
* excess energy over the best structure of this formula in the dataset: 2009.6 meV/atom
* total DFT energy (no corrections): -3.01 eV/atom

=====

No. 4
CsZrIO2 | PBE | optimized geometry

Cell: 4.4695 4.4695 6.8387 Å, 90.00 90.00 90.00°
With the nearest neighbours (Å) after each atom.
Fractional positions:
Zr  0.5000  0.5000  0.5000  4 I 3.16
O  0.0000  0.5000  0.0000  2 Cs 2.23
O  0.5000  0.0000  0.0000  2 Cs 2.23
I  0.0000  0.0000  0.5000  4 Zr 3.16, 2 Cs 3.42
Cs  0.0000  0.0000  0.0000  4 O 2.23

Results
* space-group type: P4/mmm
* raw formation energy: 0.6205 eV/atom
* excess energy over the best structure of this formula in the dataset: 2266.9 meV/atom
* total DFT energy (no corrections): -3.55 eV/atom

=====

No. 5
CsZrI2O | PBE | optimized geometry

Cell: 6.2911 6.2911 4.1203 Å, 90.00 90.00 90.00°
With the nearest neighbours (Å) after each atom.
Fractional positions:
I  0.5000  0.0000  0.0000  2 Zr 3.15
I  0.0000  0.5000  0.0000  2 Zr 3.15
Cs  0.5000  0.5000  0.5000  8 I 3.76, 2 Cs 4.12
Zr  0.0000  0.0000  0.0000  2 O 2.06
O  0.0000  0.0000  0.5000  2 Zr 2.06

Results
* space-group type: P4/mmm
* raw formation energy: -1.5276 eV/atom
* excess energy over the best structure of this formula in the dataset: 0.0 meV/atom
* total DFT energy (no corrections): -5.02 eV/atom

=====

No. 6
Cs2ZrI6O18 | PBE | optimized geometry

Cell: 8.0630 8.0630 8.0630 Å, 97.31 97.31 97.31°
With the nearest neighbours (Å) after each atom.
Fractional positions:
I  0.8742  0.2982  0.6656  3 O 1.82-1.88
I  0.6656  0.8742  0.2982  3 O 1.82-1.88
I  0.7018  0.3344  0.1258  3 O 1.82-1.88
I  0.2982  0.6656  0.8742  3 O 1.82-1.88
I  0.3344  0.1258  0.7018  3 O 1.82-1.88
I  0.1258  0.7018  0.3344  3 O 1.82-1.88
O  0.3077  0.8939  0.8990  1 I 1.82
O  0.8939  0.4014  0.2777  1 I 1.82
O  0.2813  0.5471  0.3512  1 I 1.88, 1 Zr 2.11
O  0.8939  0.8990  0.3077  1 I 1.82
O  0.4014  0.2777  0.8939  1 I 1.82
O  0.7187  0.4529  0.6488  1 I 1.88, 1 Zr 2.11
O  0.8990  0.3077  0.8939  1 I 1.82
O  0.6923  0.1061  0.1010  1 I 1.82
O  0.1061  0.1010  0.6923  1 I 1.82
O  0.7223  0.1061  0.5986  1 I 1.82
O  0.5986  0.7223  0.1061  1 I 1.82
O  0.2777  0.8939  0.4014  1 I 1.82
O  0.1061  0.5986  0.7223  1 I 1.82
O  0.5471  0.3512  0.2813  1 I 1.88, 1 Zr 2.11
O  0.6488  0.7187  0.4529  1 I 1.88, 1 Zr 2.11
O  0.1010  0.6923  0.1061  1 I 1.82
O  0.3512  0.2813  0.5471  1 I 1.88, 1 Zr 2.11
O  0.4529  0.6488  0.7187  1 I 1.88, 1 Zr 2.11
Cs  0.8355  0.8355  0.8355  9 O 3.22-3.28
Cs  0.1645  0.1645  0.1645  9 O 3.22-3.28
Zr  0.5000  0.5000  0.5000  6 O 2.11

Results
* space-group type: R-3
* raw formation energy: -0.8971 eV/atom
* total DFT energy (no corrections): -4.93 eV/atom